Entry from Alexandria: ThTi2Cd after structural relaxation (PBE).

Geometry as extended XYZ:
```
4
Lattice="4.040 0.000 0.000 0.000 4.619 0.000 0.000 0.000 4.619" Properties=species:S:1:pos:R:3 pbc="T T T"
Ti 0.000 0.000 2.309
Ti 0.000 2.309 0.000
Th 2.020 0.000 0.000
Cd 2.020 2.309 2.309
```

Calculated values
Space group   P4/mmm, No. 123
Distance to the lowest polymorph of the same formula   0.0000 eV/atom
Crystal system   tetragonal

***

Entry from Alexandria: CaNdIrPd after structural relaxation (PBE).

Geometry as extended XYZ:
```
4
Lattice="-1.086 4.588 -1.618 -3.653 0.670 -3.324 -4.259 2.188 1.385" Properties=species:S:1:pos:R:3 pbc="T T T"
Ca -2.249 1.862 -0.889
Ir -4.499 3.723 -1.779
Nd -6.748 5.585 -2.668
Pd 0.000 0.000 0.000
```

Calculated values
Space group   F-43m, No. 216
Crystal system   cubic

***

Entry from Alexandria: P2Os after structural relaxation (PBE).

Geometry as extended XYZ:
```
6
Lattice="2.132 -3.692 0.000 2.132 3.692 0.000 0.000 0.000 5.261" Properties=species:S:1:pos:R:3 pbc="T T T"
P 0.000 0.000 0.000
P 0.000 0.000 2.630
P 2.132 1.231 3.946
P 2.132 -1.231 1.315
Os 2.132 1.231 1.315
Os 2.132 -1.231 3.946
```

Calculated values
Space group   P6_3/mmc, No. 194
Crystal system   hexagonal

***

What did we get for DOS(E_F)? Answer: 3.1 1.3 3.9 states/eV per cell, in the order shown.
What did we get for formation energy from the elements? Answer: 0.138 -0.596 0.540 eV/atom, in the order shown.